Density functional theory data (PBE-GGA) for a geometry-optimized Ba3Cu3Pt2 structure.

Values from the calculation:
E: -4.144 eV per atom
magnetization: 0.0 μB per cell
ΔH_f (0 K): -0.377 eV per atom

a b c (Å): 4.495 6.265 16.636
angles (deg): 90.00 90.00 111.02
Sites, in units of the cell vectors:
Cu (0.740, 0.479, 0.750)
Ba (0.563, 0.126, 0.250)
Ba (0.146, 0.292, 0.913)
Cu (0.571, 0.142, 0.055)
Cu (0.429, 0.858, 0.555)
Ba (0.146, 0.292, 0.587)
Pt (0.857, 0.715, 0.885)
Pt (0.143, 0.285, 0.385)
Pt (0.143, 0.285, 0.115)
Cu (0.429, 0.858, 0.945)
Cu (0.260, 0.521, 0.250)
Cu (0.571, 0.142, 0.445)
Ba (0.854, 0.708, 0.087)
Ba (0.437, 0.874, 0.750)
Pt (0.857, 0.715, 0.615)
Ba (0.854, 0.708, 0.413)